Entry 1:
RbTaCd2: optimized geometry, PBE.

Its distance to the lowest polymorph of the same formula is 0.0 meV per atom. The value obtained for the energy of formation is 1.0731 eV per atom. The value obtained for the total energy is -0.0952 hartree per atom.

Cell: 7.5463 7.5463 7.5463 Å, 90.00 90.00 90.00°
Last column: nearest neighbours and their distance in Å.
Space group Fm-3m (No. 225)
One atom of each set of equivalent atoms:
Rb1 0.0000 0.0000 0.0000  8 Cd 3.27
Ta1 0.0000 0.0000 0.5000  8 Cd 3.27
Cd1 0.2500 0.2500 0.2500  4 Ta 3.27, 4 Rb 3.27

=====

Entry 2:
Rb2TaCdTe4: optimized geometry, PBE.

Its uncorrected formation energy is -542 meV per atom. The value obtained for the total energy is -0.1452 hartree per atom.

Cell: 7.2287 14.5063 26.4640 Å, 90.00 90.00 90.00°
Last column: nearest neighbours and their distance in Å.
Space group Fddd (No. 70, origin choice 2)
One atom of each set of equivalent atoms:
Rb1 0.1250 0.1250 0.3073  8 Te 3.94-4.37
Ta1 0.1250 0.1250 0.6250  4 Te 2.66
Cd1 0.1250 0.1250 0.1250  4 Te 2.89
Te1 0.1006 0.2736 0.8184  1 Ta 2.66, 1 Cd 2.89

=====

Entry 3:
RbZrTaCd2: optimized geometry, PBE.

The value obtained for the energy of formation is 2.3241 eV per atom. The value obtained for the total energy is -0.0851 hartree per atom.

Cell: 5.2652 5.2652 5.1480 Å, 90.00 90.00 90.00°
Last column: nearest neighbours and their distance in Å.
Space group P4/mmm (No. 123)
One atom of each set of equivalent atoms:
Rb1 0.0000 0.0000 0.0000  2 Zr 2.57, 4 Cd 2.63
Zr1 0.0000 0.0000 0.5000  2 Rb 2.57
Ta1 0.5000 0.5000 0.5000  8 Cd 3.68, 4 Zr 3.72
Cd1 0.0000 0.5000 0.0000  2 Rb 2.63

=====

Entry 4:
RbTbCd2: optimized geometry, PBE.

The value obtained for the energy of formation is -0.0765 eV per atom. The value obtained for the total energy is -0.0711 hartree per atom.

Cell: 3.8886 3.8886 8.7990 Å, 90.00 90.00 90.00°
Last column: nearest neighbours and their distance in Å.
Space group P4/mmm (No. 123)
One atom of each set of equivalent atoms:
Rb1 0.0000 0.0000 0.0000  8 Cd 3.87, 4 Rb 3.89
Tb1 0.0000 0.0000 0.5000  8 Cd 3.22
Cd1 0.5000 0.5000 0.3089  4 Tb 3.22, 1 Cd 3.36

=====

Entry 5:
Rb2Cd2Tc: optimized geometry, PBE.

Its distance to the lowest polymorph of the same formula is 487.3 meV per atom. The value obtained for the energy of formation is 1.1720 eV per atom. The value obtained for the total energy is -0.0608 hartree per atom.

Cell: 4.7640 4.7640 16.0144 Å, 90.00 90.00 90.00°
Last column: nearest neighbours and their distance in Å.
Space group I4/mmm (No. 139)
One atom of each set of equivalent atoms:
Rb1 0.0000 0.5000 0.2500  4 Rb 3.37, 4 Cd 3.57
Cd1 0.0000 0.0000 0.0842  1 Cd 2.70
Tc1 0.0000 0.0000 0.5000  8 Cd 3.63

=====

Entry 6:
Rb3CdTc: optimized geometry, PBE.

Its distance to the lowest polymorph of the same formula is 0.0 meV per atom. The value obtained for the energy of formation is 1.1113 eV per atom. The value obtained for the total energy is -0.0634 hartree per atom.

Cell: 6.6720 6.6720 6.6720 Å, 90.00 90.00 90.00°
Last column: nearest neighbours and their distance in Å.
Space group Pm-3m (No. 221)
One atom of each set of equivalent atoms:
Rb1 0.0000 0.0000 0.5000  2 Tc 3.34
Cd1 0.5000 0.5000 0.5000  12 Rb 4.72
Tc1 0.0000 0.0000 0.0000  6 Rb 3.34

=====

Entry 7:
Rb2Cd2Tc: optimized geometry, PBE.

Its distance to the lowest polymorph of the same formula is 0.0 meV per atom. The value obtained for the energy of formation is 0.6847 eV per atom. The value obtained for the total energy is -0.0787 hartree per atom.

Cell: 7.5090 7.5090 6.1396 Å, 90.00 90.00 90.00°
Last column: nearest neighbours and their distance in Å.
Space group P4/mbm (No. 127)
One atom of each set of equivalent atoms:
Rb1 0.1753 0.3247 0.0000  6 Cd 3.55-3.96, 5 Rb 3.72-3.92
Cd1 0.1566 0.6566 0.5000  2 Tc 2.83
Tc1 0.0000 0.0000 0.5000  4 Cd 2.83

=====

Entry 8:
RbCd3Tc: optimized geometry, PBE.

Its distance to the lowest polymorph of the same formula is 0.0 meV per atom. The value obtained for the energy of formation is 0.4447 eV per atom. The value obtained for the total energy is -0.0871 hartree per atom.

Cell: 5.3987 5.3987 5.3987 Å, 90.00 90.00 90.00°
Last column: nearest neighbours and their distance in Å.
Space group Pm-3m (No. 221)
One atom of each set of equivalent atoms:
Rb1 0.0000 0.0000 0.0000  12 Cd 3.82
Cd1 0.0000 0.5000 0.5000  2 Tc 2.70
Tc1 0.5000 0.5000 0.5000  6 Cd 2.70

=====

Entry 9:
RbCd3Tc: optimized geometry, PBE.

Its distance to the lowest polymorph of the same formula is 1202.6 meV per atom. The value obtained for the energy of formation is 1.6473 eV per atom. The value obtained for the total energy is -0.0429 hartree per atom.

Cell: 6.4565 6.4565 6.4565 Å, 90.00 90.00 90.00°
Last column: nearest neighbours and their distance in Å.
Space group Pm-3m (No. 221)
One atom of each set of equivalent atoms:
Rb1 0.0000 0.0000 0.0000  6 Cd 3.23
Cd1 0.0000 0.0000 0.5000  2 Rb 3.23
Tc1 0.5000 0.5000 0.5000  12 Cd 4.57

=====

Entry 10:
RbCdTe: optimized geometry, PBE.

Its uncorrected formation energy is -628 meV per atom. The value obtained for the total energy is -0.0846 hartree per atom.

Cell: 5.1034 5.8805 17.8678 Å, 90.00 90.00 90.00°
Last column: nearest neighbours and their distance in Å.
Space group Immm (No. 71)
One atom of each set of equivalent atoms:
Rb1 0.0000 0.0000 0.1589  5 Te 3.69-3.92, 4 Cd 4.05
Cd1 0.0000 0.2682 0.5000  1 Cd 2.73, 2 Te 2.87
Te1 0.0000 0.0000 0.3655  2 Cd 2.87

=====

Entry 11:
Rb2CdTe: optimized geometry, PBE.

Its distance to the lowest polymorph of the same formula is 260.1 meV per atom. Its uncorrected formation energy is -351 meV per atom. The value obtained for the total energy is -0.0679 hartree per atom.

Cell: 6.7582 6.7582 21.6346 Å, 90.00 90.00 90.00°
Last column: nearest neighbours and their distance in Å.
Space group I-42d (No. 122)
One atom of each set of equivalent atoms:
Rb1 0.2099 0.2500 0.1250  2 Te 3.49, 2 Cd 3.74
Cd1 0.0000 0.0000 0.5000  4 Rb 3.74
Te1 0.0000 0.0000 0.0000  4 Rb 3.49

=====

Entry 12:
Rb2CdTe2: optimized geometry, PBE.

Its uncorrected formation energy is -321 meV per atom. The value obtained for the total energy is -0.0789 hartree per atom.

Cell: 4.5968 4.5968 21.5046 Å, 90.00 90.00 90.00°
Last column: nearest neighbours and their distance in Å.
Space group I4/mmm (No. 139)
One atom of each set of equivalent atoms:
Rb1 0.0000 0.0000 0.1171  4 Te 3.67
Cd1 0.0000 0.0000 0.5000  8 Rb 4.11, 4 Cd 4.60
Te1 0.0000 0.5000 0.2500  4 Te 3.25